Arrangement P

{
  "formula": "Cd2H4Ir",
  "functional": "PBE",
  "state": "relaxed",
  "lattice": [[5.203, 0.000, 0.000], [0.000, 4.896, 0.000], [-2.399, 0.000, 7.332]],
  "species": ["Cd", "Cd", "Cd", "Cd", "H", "H", "H", "H", "H", "H", "H", "H", "Ir", "Ir"],
  "frac_coords": [[0.024, 0.250, 0.105], [0.210, 0.250, 0.507], [0.790, 0.750, 0.493], [0.976, 0.750, 0.895], [0.169, 0.250, 0.772], [0.318, 0.750, 0.504], [0.405, 0.551, 0.255], [0.405, 0.949, 0.255], [0.595, 0.051, 0.745], [0.595, 0.449, 0.745], [0.682, 0.250, 0.496], [0.831, 0.750, 0.228], [0.171, 0.750, 0.285], [0.829, 0.250, 0.715]],
  "vol_a3_per_cell": 186.8,
  "space_group": "P2_1/m",
  "magmom_total_mub_per_atom": 0.000
}



Arrangement Q

{
  "formula": "Cd2H4Ir",
  "functional": "PBE",
  "state": "relaxed",
  "lattice": [[-1.713, 1.713, 6.864], [1.713, -1.713, 6.864], [1.713, 1.713, -6.864]],
  "species": ["Cd", "Cd", "H", "H", "H", "H", "Ir"],
  "frac_coords": [[0.164, 0.164, 0.000], [0.836, 0.836, 0.000], [0.000, 0.500, 0.500], [0.378, 0.378, 0.000], [0.500, 0.000, 0.500], [0.622, 0.622, 0.000], [0.500, 0.500, 0.000]],
  "vol_a3_per_cell": 80.5,
  "space_group": "I4/mmm",
  "magmom_total_mub_per_atom": 0.000
}



Stability summary: most stable arrangement P, least stable arrangement Q.



Arrangement P

{
  "formula": "Cd2H2Ir",
  "functional": "PBE",
  "state": "relaxed",
  "lattice": [[5.063, -1.522, 0.000], [5.063, 1.522, 0.000], [-4.437, 0.000, 9.618]],
  "species": ["Cd", "Cd", "Cd", "Cd", "H", "H", "H", "H", "Ir", "Ir"],
  "frac_coords": [[0.136, 0.136, 0.393], [0.327, 0.327, 0.884], [0.673, 0.673, 0.116], [0.864, 0.864, 0.607], [0.038, 0.038, 0.883], [0.370, 0.370, 0.304], [0.630, 0.630, 0.696], [0.962, 0.962, 0.117], [0.428, 0.428, 0.182], [0.572, 0.572, 0.818]],
  "vol_a3_per_cell": 148.3,
  "space_group": "C2/m",
  "magmom_total_mub_per_atom": 0.000
}



Arrangement Q

{
  "formula": "Cd2H2Ir",
  "functional": "PBE",
  "state": "relaxed",
  "lattice": [[5.506, 0.000, 0.000], [0.000, 5.506, 0.000], [0.000, 0.000, 4.318]],
  "species": ["Cd", "Cd", "Cd", "Cd", "H", "H", "H", "H", "Ir", "Ir"],
  "frac_coords": [[0.193, 0.307, 0.000], [0.307, 0.807, 0.000], [0.693, 0.193, 0.000], [0.807, 0.693, 0.000], [0.243, 0.743, 0.500], [0.257, 0.243, 0.500], [0.743, 0.757, 0.500], [0.757, 0.257, 0.500], [0.000, 0.000, 0.500], [0.500, 0.500, 0.500]],
  "vol_a3_per_cell": 130.9,
  "space_group": "P4/mbm",
  "magmom_total_mub_per_atom": 0.000
}



Arrangement R

{
  "formula": "Cd2H2Ir",
  "functional": "PBE",
  "state": "relaxed",
  "lattice": [[-1.537, 1.537, 6.794], [1.537, -1.537, 6.794], [1.537, 1.537, -6.794]],
  "species": ["Cd", "Cd", "H", "H", "Ir"],
  "frac_coords": [[0.137, 0.137, 0.000], [0.863, 0.863, 0.000], [0.250, 0.750, 0.500], [0.750, 0.250, 0.500], [0.500, 0.500, 0.000]],
  "vol_a3_per_cell": 64.2,
  "space_group": "I4/mmm",
  "magmom_total_mub_per_atom": 0.000
}



Stability summary: most stable arrangement P, least stable arrangement R.



Arrangement P

{
  "formula": "Mg2CdHIr",
  "functional": "PBE",
  "state": "relaxed",
  "lattice": [[4.524, 0.000, 0.000], [0.000, 4.524, 0.000], [0.000, 0.000, 3.597]],
  "species": ["Mg", "Mg", "Cd", "H", "Ir"],
  "frac_coords": [[0.000, 0.500, 0.000], [0.500, 0.000, 0.000], [0.000, 0.000, 0.500], [0.500, 0.500, 0.000], [0.500, 0.500, 0.500]],
  "vol_a3_per_cell": 73.6,
  "space_group": "P4/mmm",
  "magmom_total_mub_per_atom": 0.000
}



Arrangement Q

{
  "formula": "Mg2CdHIr",
  "functional": "PBE",
  "state": "relaxed",
  "lattice": [[5.023, 0.000, 0.000], [0.000, 5.023, 0.000], [0.000, 0.000, 5.221]],
  "species": ["Mg", "Mg", "Cd", "H", "Ir"],
  "frac_coords": [[0.000, 0.500, 0.000], [0.500, 0.000, 0.000], [0.000, 0.000, 0.500], [0.500, 0.500, 0.500], [0.000, 0.000, 0.000]],
  "vol_a3_per_cell": 131.7,
  "space_group": "P4/mmm",
  "magmom_total_mub_per_atom": 0.153
}



Stability summary: most stable arrangement P, least stable arrangement Q.



Arrangement P

{
  "formula": "K2NaCdH",
  "functional": "PBE",
  "state": "relaxed",
  "lattice": [[5.336, 0.000, 0.000], [0.000, 5.336, 0.000], [0.000, 0.000, 5.848]],
  "species": ["K", "K", "Na", "Cd", "H"],
  "frac_coords": [[0.000, 0.500, 0.000], [0.500, 0.000, 0.000], [0.000, 0.000, 0.500], [0.500, 0.500, 0.500], [0.500, 0.500, 0.000]],
  "vol_a3_per_cell": 166.5,
  "space_group": "P4/mmm",
  "magmom_total_mub_per_atom": 0.000
}



Arrangement Q

{
  "formula": "K2NaCdH",
  "functional": "PBE",
  "state": "relaxed",
  "lattice": [[5.606, 0.000, 0.000], [0.000, 5.606, 0.000], [0.000, 0.000, 5.022]],
  "species": ["K", "K", "Na", "Cd", "H"],
  "frac_coords": [[0.000, 0.500, 0.000], [0.500, 0.000, 0.000], [0.000, 0.000, 0.500], [0.500, 0.500, 0.500], [0.000, 0.000, 0.000]],
  "vol_a3_per_cell": 157.9,
  "space_group": "P4/mmm",
  "magmom_total_mub_per_atom": 0.000
}



Stability summary: most stable arrangement Q, least stable arrangement P.